1.
VASP calculation (GGA-PBE) on an optimized crystal structure of LaPrGePd.

As for the space-group type: F-43m, No. 216. The energy above the most stable polymorph in this dataset is 0.407 eV per formula unit. The formation energy comes out at -70 kJ/mol of atoms.

Unit cell a=5.247 b=5.247 c=5.247 alpha=60.00 beta=60.00 gamma=60.00
Positions (direct):
La: 0.000 0.000 0.000
Pr: 0.500 0.500 0.500
Ge: 0.750 0.750 0.750
Pd: 0.250 0.250 0.250


2.
VASP calculation (GGA-PBE) on an optimized crystal structure of AlAg2Br.

As for the space-group type: Pm, No. 6. The energy above the most stable polymorph in this dataset is 0.532 eV per formula unit. For the formation energy without anion corrections, the calculation gives 0.115 eV/atom.

Unit cell a=3.292 b=5.952 c=4.504 alpha=90.00 beta=90.03 gamma=90.00
Positions (direct):
Al: 0.000 0.000 0.000
Ag: 0.500 0.000 0.500
Ag: 0.503 0.500 0.505
Br: 0.002 0.500 0.005


3.
VASP calculation (GGA-PBE) on an optimized crystal structure of Al2ReSe.

As for the space-group type: Amm2, No. 38. For the formation energy without anion corrections, the calculation gives -0.033 eV/atom.

Unit cell a=4.228 b=5.005 c=5.005 alpha=38.08 beta=90.00 gamma=90.00
Positions (direct):
Al: 0.000 0.000 0.000
Al: 0.500 0.313 0.313
Re: 0.500 0.586 0.586
Se: 0.000 0.734 0.734


4.
VASP calculation (GGA-PBE) on an optimized crystal structure of NbCuNi6.

As for the space-group type: Cmmm, No. 65. The energy above the most stable polymorph in this dataset is 0.000 eV per formula unit. The formation energy comes out at -13 kJ/mol of atoms.

Unit cell a=6.261 b=6.261 c=10.239 alpha=90.00 beta=90.00 gamma=109.77
Positions (direct):
Nb: 0.000 0.000 0.244
Nb: 0.000 0.000 0.756
Nb: 0.244 0.756 0.500
Nb: 0.756 0.244 0.500
Cu: 0.246 0.754 0.000
Cu: 0.500 0.500 0.246
Cu: 0.500 0.500 0.754
Cu: 0.754 0.246 0.000
Ni: 0.000 0.000 0.000
Ni: 0.000 0.000 0.500
Ni: 0.128 0.381 0.123
Ni: 0.128 0.381 0.877
Ni: 0.131 0.378 0.373
Ni: 0.131 0.378 0.627
Ni: 0.251 0.749 0.247
Ni: 0.251 0.749 0.753
Ni: 0.378 0.131 0.373
Ni: 0.378 0.131 0.627
Ni: 0.381 0.128 0.123
Ni: 0.381 0.128 0.877
Ni: 0.500 0.500 0.000
Ni: 0.500 0.500 0.500
Ni: 0.619 0.872 0.123
Ni: 0.619 0.872 0.877
Ni: 0.622 0.869 0.373
Ni: 0.622 0.869 0.627
Ni: 0.749 0.251 0.247
Ni: 0.749 0.251 0.753
Ni: 0.869 0.622 0.373
Ni: 0.869 0.622 0.627
Ni: 0.872 0.619 0.123
Ni: 0.872 0.619 0.877


5.
VASP calculation (GGA-PBE) on an optimized crystal structure of AsP2WS.

As for the space-group type: P4/mmm, No. 123. The energy above the most stable polymorph in this dataset is 0.000 eV per formula unit. For the formation energy without anion corrections, the calculation gives 0.659 eV/atom.

Unit cell a=4.824 b=4.824 c=4.477 alpha=90.00 beta=90.00 gamma=90.00
Positions (direct):
As: 0.000 0.000 0.000
P: 0.000 0.500 0.500
P: 0.500 0.000 0.500
W: 0.500 0.500 0.500
S: 0.500 0.500 0.000


6.
VASP calculation (GGA-PBE) on an optimized crystal structure of Mn3HgS.

As for the space-group type: Pm-3m, No. 221. The energy above the most stable polymorph in this dataset is 0.000 eV per formula unit. For the formation energy without anion corrections, the calculation gives 0.171 eV/atom.

Unit cell a=4.373 b=4.373 c=4.373 alpha=90.00 beta=90.00 gamma=90.00
Positions (direct):
Mn: 0.000 0.000 0.500
Mn: 0.000 0.500 0.000
Mn: 0.500 0.000 0.000
Hg: 0.500 0.500 0.500
S: 0.000 0.000 0.000


7.
VASP calculation (GGA-PBE) on an optimized crystal structure of CsN2Cl.

As for the space-group type: P2_1/m, No. 11. The energy above the most stable polymorph in this dataset is 0.000 eV per formula unit. For the formation energy without anion corrections, the calculation gives -0.913 eV/atom.

Unit cell a=6.345 b=6.732 c=9.884 alpha=90.00 beta=108.44 gamma=90.00
Positions (direct):
Cs: 0.220 0.250 0.439
Cs: 0.780 0.750 0.561
N: 0.430 0.667 0.864
N: 0.430 0.833 0.864
N: 0.570 0.167 0.136
N: 0.570 0.333 0.136
Cl: 0.216 0.750 0.432
Cl: 0.784 0.250 0.568


8.
VASP calculation (GGA-PBE) on an optimized crystal structure of B5C7.

As for the space-group type: P-4m2, No. 115. The energy above the most stable polymorph in this dataset is 1.264 eV per formula unit. The formation energy comes out at 35 kJ/mol of atoms.

Unit cell a=2.533 b=2.533 c=12.203 alpha=90.00 beta=90.00 gamma=90.00
Positions (direct):
B: 0.000 0.000 0.000
B: 0.000 0.500 0.418
B: 0.500 0.000 0.582
B: 0.500 0.500 0.169
B: 0.500 0.500 0.831
C: 0.000 0.000 0.326
C: 0.000 0.000 0.674
C: 0.000 0.500 0.087
C: 0.000 0.500 0.740
C: 0.500 0.000 0.260
C: 0.500 0.000 0.913
C: 0.500 0.500 0.500


no.,total moment (μB per atom)
1,0.0000
2,0.0000
3,0.0000
4,0.1160
5,0.0961
6,1.9303
7,0.0153
8,0.0000